[1]
An optimized crystal structure of Mg2SiAg2, computed with PBE.

a b c (Å): 7.378 7.378 3.576
angles (deg): 90.00 90.00 90.00
Element x y z (fractional)
Mg: 0.154 0.346 0.000
Mg: 0.346 0.846 0.000
Mg: 0.654 0.154 0.000
Mg: 0.846 0.654 0.000
Si: 0.000 0.000 0.000
Si: 0.500 0.500 0.000
Ag: 0.141 0.641 0.500
Ag: 0.359 0.141 0.500
Ag: 0.641 0.859 0.500
Ag: 0.859 0.359 0.500

Calculated values
excess energy over the best structure of this formula in the dataset = 13.18 kJ/mol of atoms

[2]
An optimized crystal structure of TaMn2Cr, computed with PBE.

a b c (Å): 2.650 3.983 5.037
angles (deg): 90.00 100.95 90.00
Element x y z (fractional)
Ta: 0.000 0.000 0.000
Mn: 0.264 0.500 0.723
Mn: 0.736 0.500 0.277
Cr: 0.500 0.000 0.500

Calculated values
ΔH_f (0 K) = 98 meV/atom

[3]
An optimized crystal structure of Mg5Cd4Au4, computed with PBE.

a b c (Å): 8.281 8.281 8.281
angles (deg): 93.69 93.69 150.61
Element x y z (fractional)
Mg: 0.000 0.000 0.000
Mg: 0.300 0.622 0.922
Mg: 0.378 0.300 0.677
Mg: 0.622 0.700 0.323
Mg: 0.700 0.378 0.078
Cd: 0.109 0.407 0.516
Cd: 0.407 0.891 0.298
Cd: 0.593 0.109 0.702
Cd: 0.891 0.593 0.484
Au: 0.072 0.776 0.848
Au: 0.224 0.072 0.296
Au: 0.776 0.928 0.704
Au: 0.928 0.224 0.152

Calculated values
ΔH_f (0 K) = -341 meV/atom

Question: What is the formula in the third record?
Answer: Mg5Cd4Au4